## RbCuOs2Pb (GGA-PBEsol)

Data for a relaxed structure of RbCuOs2Pb.

a b c (Å): 4.773 4.773 5.577
angles (deg): 90.00 90.00 90.00
Space group P4/mmm (No. 123)
Asymmetric unit:
Rb 0.000 0.000 0.000 (multiplicity 1)
Cu 0.500 0.500 0.500 (multiplicity 1)
Os 0.000 0.500 0.000 (multiplicity 2)
Pb 0.000 0.000 0.500 (multiplicity 1)

Values from the calculation:
Energy of formation from the pure elements ... 3.546 eV/atom